1.
YZn4 | GGA-PBE | relaxed

- N(E_F) (states/eV/atom) = 1.17
- V (Å³ per atom) = 36.8
- ΔE_f (eV per atom) = 0.91
- energy (eV per atom) = -1.41

Cell: 5.6895 5.6895 5.6895 Å, 90.00 90.00 90.00°
Closest atoms and distances in Å follow each position.
Sites, in units of the cell vectors:
1 Zn 0.5000 0.0000 0.5000  2 Y 2.84
2 Zn 0.0000 0.0000 0.0000  12 Zn 4.02
3 Zn 0.0000 0.5000 0.5000  2 Y 2.84
4 Zn 0.5000 0.5000 0.0000  2 Y 2.84
5 Y 0.5000 0.5000 0.5000  6 Zn 2.84


2.
K3Zr3VTe8 | GGA-PBE | relaxed

- E_form (uncorrected) (eV per atom) = -0.88
- N(E_F) (states/eV/atom) = 0.49
- V (Å³ per atom) = 33.4
- energy (eV per atom) = -5.09

Cell: 8.1998 8.2028 9.8164 Å, 114.74 90.01 119.97°
Closest atoms and distances in Å follow each position.
Sites, in units of the cell vectors:
1 Te 0.7396 0.9679 0.6962  1 V 2.86, 2 Zr 2.93
2 Te 0.7717 0.0321 0.3038  1 V 2.86, 2 Zr 2.93
3 Te 0.2655 0.5310 0.2964  3 Zr 2.94-2.95
4 Te 0.2284 0.4568 0.6964  1 V 2.86, 2 Zr 2.93
5 Te 0.2283 0.9679 0.6962  1 V 2.86, 2 Zr 2.93
6 Te 0.2604 0.0321 0.3038  1 V 2.86, 2 Zr 2.93
7 Te 0.7716 0.5432 0.3036  1 V 2.86, 2 Zr 2.93
8 Te 0.7345 0.4690 0.7036  3 Zr 2.94-2.95
9 Zr 0.5000 0.0000 0.5000  6 Te 2.93-2.94
10 Zr 0.5000 0.5000 0.5000  6 Te 2.93-2.94
11 Zr 0.0000 0.5000 0.5000  6 Te 2.93-2.95
12 V 0.0000 0.0000 0.5000  6 Te 2.86
13 K 0.0000 0.5000 0.0000  6 Te 3.48-3.51
14 K 0.0000 0.0000 0.0000  6 Te 3.48-3.51
15 K 0.5000 0.5000 0.0000  6 Te 3.48-3.51


3.
CrIn3 | GGA-PBE | relaxed

- N(E_F) (states/eV/atom) = 0.75
- V (Å³ per atom) = 23.8
- ΔE_f (eV per atom) = 0.35
- energy (eV per atom) = -4.11

Cell: 6.9097 6.9097 4.0495 Å, 90.00 90.00 100.18°
Closest atoms and distances in Å follow each position.
Sites, in units of the cell vectors:
1 In 0.1635 0.5121 0.2500  3 Cr 2.73-2.87, 2 In 3.02
2 In 0.5121 0.1635 0.2500  3 Cr 2.73-2.87, 2 In 3.02
3 In 0.8365 0.4879 0.7500  3 Cr 2.73-2.87, 2 In 3.02
4 In 0.8786 0.8786 0.2500  1 Cr 2.78, 2 In 2.96
5 In 0.1214 0.1214 0.7500  1 Cr 2.78, 2 In 2.96
6 In 0.4879 0.8365 0.7500  3 Cr 2.73-2.87, 2 In 3.02
7 Cr 0.4354 0.4354 0.7500  2 Cr 2.33
8 Cr 0.5646 0.5646 0.2500  2 Cr 2.33


4.
Zn2CdAu | GGA-PBE | relaxed

- N(E_F) (states/eV/atom) = 0.25
- V (Å³ per atom) = 17.5
- ΔE_f (eV per atom) = -0.06
- polymorph energy (0 for the lowest one) (meV per atom) = 33
- energy (eV per atom) = -1.75

Cell: 3.4162 3.4162 5.9907 Å, 90.00 90.00 90.00°
Closest atoms and distances in Å follow each position.
Sites, in units of the cell vectors:
1 Zn 0.0000 0.0000 0.4802  1 Zn 2.76, 4 Au 2.78, 4 Cd 2.91
2 Zn 0.0000 0.0000 0.0198  1 Zn 2.76, 4 Au 2.78, 4 Cd 2.91
3 Cd 0.5000 0.5000 0.7500  8 Zn 2.91, 2 Au 3.00
4 Au 0.5000 0.5000 0.2500  8 Zn 2.78, 2 Cd 3.00


5.
Pm2Pr7Dy2 | GGA-PBE | relaxed

- N(E_F) (states/eV/atom) = 1.54
- V (Å³ per atom) = 35.7
- ΔE_f (eV per atom) = 0.10
- polymorph energy (0 for the lowest one) (meV per atom) = 0
- energy (eV per atom) = -4.64

Cell: 8.9277 6.6978 6.6978 Å, 92.49 82.54 82.54°
Closest atoms and distances in Å follow each position.
Sites, in units of the cell vectors:
1 Pr 0.2068 0.4556 0.0843  3 Pm 3.47-3.59, 2 Dy 3.53-3.67, 4 Pr 3.59-3.82
2 Pr 0.2068 0.0843 0.4556  3 Pm 3.47-3.59, 2 Dy 3.53-3.67, 4 Pr 3.59-3.82
3 Pr 0.7932 0.5444 0.9157  3 Pm 3.47-3.59, 2 Dy 3.53-3.67, 4 Pr 3.59-3.82
4 Pr 0.0000 0.0000 0.0000  2 Pm 3.59, 10 Pr 3.72-3.97
5 Pr 0.4162 0.8463 0.8463  6 Pr 3.46-3.79, 1 Pm 3.56, 4 Dy 3.58-3.59
6 Pr 0.5838 0.1537 0.1537  6 Pr 3.46-3.79, 1 Pm 3.56, 4 Dy 3.58-3.59
7 Pr 0.7932 0.9157 0.5444  3 Pm 3.47-3.59, 2 Dy 3.53-3.67, 4 Pr 3.59-3.82
8 Pm 0.8567 0.3890 0.3890  8 Pr 3.47-3.59, 1 Pm 3.57, 2 Dy 3.58
9 Pm 0.1433 0.6110 0.6110  8 Pr 3.47-3.59, 1 Pm 3.57, 2 Dy 3.58
10 Dy 0.5000 0.3250 0.6750  1 Dy 3.39, 8 Pr 3.53-3.67, 2 Pm 3.58
11 Dy 0.5000 0.6750 0.3250  1 Dy 3.39, 8 Pr 3.53-3.67, 2 Pm 3.58


6.
NdEuPt4 | GGA-PBE | relaxed

- N(E_F) (states/eV/atom) = 2.31
- V (Å³ per atom) = 19.8
- ΔE_f (eV per atom) = -1.02
- energy (eV per atom) = -7.56

Cell: 5.5143 5.5143 5.5143 Å, 60.00 60.00 60.00°
Closest atoms and distances in Å follow each position.
Sites, in units of the cell vectors:
1 Pt 0.1244 0.6252 0.6252  6 Pt 2.75-2.76
2 Pt 0.6252 0.6252 0.1244  6 Pt 2.75-2.76
3 Pt 0.6252 0.1244 0.6252  6 Pt 2.75-2.76
4 Pt 0.6252 0.6252 0.6252  6 Pt 2.75-2.76
5 Eu 0.0000 0.0000 0.0000  12 Pt 3.23, 4 Nd 3.38
6 Nd 0.2500 0.2500 0.2500  12 Pt 3.23, 4 Eu 3.38


7.
Pm12Pd6Pb | GGA-PBE | relaxed

- N(E_F) (states/eV/atom) = 0.86
- V (Å³ per atom) = 28.5
- ΔE_f (eV per atom) = -0.57
- polymorph energy (0 for the lowest one) (meV per atom) = 0
- energy (eV per atom) = -5.40

Cell: 8.8975 8.8975 8.8975 Å, 109.47 109.47 109.47°
Closest atoms and distances in Å follow each position.
Sites, in units of the cell vectors:
1 Pd 0.3663 0.5000 0.8663  1 Pd 2.75, 2 Pm 2.77
2 Pd 0.8663 0.3663 0.5000  1 Pd 2.75, 2 Pm 2.77
3 Pd 0.1337 0.6337 0.5000  1 Pd 2.75, 2 Pm 2.77
4 Pd 0.5000 0.8663 0.3663  1 Pd 2.75, 2 Pm 2.77
5 Pd 0.6337 0.5000 0.1337  1 Pd 2.75, 2 Pm 2.77
6 Pd 0.5000 0.1337 0.6337  1 Pd 2.75, 2 Pm 2.77
7 Pm 0.1156 0.8153 0.3003  1 Pd 2.77
8 Pm 0.6997 0.5149 0.8153  1 Pd 2.77
9 Pm 0.8844 0.1847 0.6997  1 Pd 2.77
10 Pm 0.8153 0.3003 0.1156  1 Pd 2.77
11 Pm 0.3003 0.1156 0.8153  1 Pd 2.77
12 Pm 0.8153 0.6997 0.5149  1 Pd 2.77
13 Pm 0.5149 0.8153 0.6997  1 Pd 2.77
14 Pm 0.1847 0.6997 0.8844  1 Pd 2.77
15 Pm 0.3003 0.4851 0.1847  1 Pd 2.77
16 Pm 0.4851 0.1847 0.3003  1 Pd 2.77
17 Pm 0.1847 0.3003 0.4851  1 Pd 2.77
18 Pm 0.6997 0.8844 0.1847  1 Pd 2.77
19 Pb 0.0000 0.0000 0.0000  12 Pm 3.62


8.
CrGa2 | GGA-PBE | relaxed

- N(E_F) (states/eV/atom) = 0.42
- V (Å³ per atom) = 16.5
- ΔE_f (eV per atom) = -0.08
- energy (eV per atom) = -5.30

Cell: 4.3697 4.3697 2.5917 Å, 90.00 90.00 90.00°
Closest atoms and distances in Å follow each position.
Sites, in units of the cell vectors:
1 Ga 0.0000 0.5000 0.0000  4 Cr 2.54, 2 Ga 2.59
2 Ga 0.5000 0.0000 0.0000  4 Cr 2.54, 2 Ga 2.59
3 Cr 0.5000 0.5000 0.5000  8 Ga 2.54, 2 Cr 2.59